This record from Alexandria via LeMat-Bulk describes a relaxed TbNdSiPd crystal. The functional is PBE-GGA.

a = 4.255 Å, b = 4.084 Å, c = 10.971 Å
α = 90.00°, β = 90.00°, γ = 90.00°
Fractional positions:
Tb1 0.000 0.000 0.000
Tb2 0.000 0.500 0.500
Nd1 0.500 0.000 0.279
Nd2 0.500 0.500 0.779
Si1 0.000 0.000 0.710
Si2 0.000 0.500 0.210
Pd1 0.500 0.000 0.562
Pd2 0.500 0.500 0.062

Results
**Excess energy over the best structure of this formula in the dataset**: 0.0000 eV/atom
**Symmetry**: Amm2
**E_form (uncorrected)**: -786 meV/atom

***

This record from Alexandria via LeMat-Bulk describes a relaxed LiNdErPd crystal. The functional is PBE-GGA.

a = 7.203 Å, b = 7.203 Å, c = 7.203 Å
α = 90.00°, β = 90.00°, γ = 90.00°
Fractional positions:
Li1 0.000 0.000 0.000
Li2 0.000 0.500 0.500
Li3 0.500 0.000 0.500
Li4 0.500 0.500 0.000
Nd1 0.250 0.250 0.250
Nd2 0.250 0.750 0.750
Nd3 0.750 0.250 0.750
Nd4 0.750 0.750 0.250
Er1 0.250 0.250 0.750
Er2 0.250 0.750 0.250
Er3 0.750 0.250 0.250
Er4 0.750 0.750 0.750
Pd1 0.000 0.000 0.500
Pd2 0.000 0.500 0.000
Pd3 0.500 0.000 0.000
Pd4 0.500 0.500 0.500

Results
**Symmetry**: F-43m
**Formation energy from the elements**: -0.37 eV per atom

***

Repeat the first record exactly.
This record from Alexandria via LeMat-Bulk describes a relaxed TbNdSiPd crystal. The functional is PBE-GGA.

a = 4.255 Å, b = 4.084 Å, c = 10.971 Å
α = 90.00°, β = 90.00°, γ = 90.00°
Fractional positions:
Tb1 0.000 0.000 0.000
Tb2 0.000 0.500 0.500
Nd1 0.500 0.000 0.279
Nd2 0.500 0.500 0.779
Si1 0.000 0.000 0.710
Si2 0.000 0.500 0.210
Pd1 0.500 0.000 0.562
Pd2 0.500 0.500 0.062

Results
**Excess energy over the best structure of this formula in the dataset**: 0.0000 eV/atom
**Symmetry**: Amm2
**E_form (uncorrected)**: -786 meV/atom